Here is a geometry-optimized MgMn2Br2O2 structure from Alexandria via LeMat-Bulk. Energies are from PBE with a Hubbard U.

Cell: 3.8678 3.8678 9.5046 Å, 101.74 101.74 90.00°
With the nearest neighbours (Å) after each atom.
Element x y z (fractional)
1 Mg 0.0000 0.0000 0.0000  4 O 1.93
2 Mn 0.5766 0.5766 0.1533  4 O 2.38
3 Mn 0.4234 0.4234 0.8467  4 O 2.38
4 Br 0.8453 0.8453 0.6906  1 Mg 2.82, 4 Mn 3.08
5 Br 0.1547 0.1547 0.3094  1 Mg 2.82, 4 Mn 3.08
6 O 0.5000 0.0000 0.0000  2 Mg 1.93
7 O 0.0000 0.5000 0.0000  2 Mg 1.93

Calculated values
As for the space-group type: I4/mmm (139). Its total DFT energy (no corrections) is -39.71 eV/cell.